1.
## ReRu2Rh (PBE)

Data for a relaxed structure of ReRu2Rh.

Properties
Space group ... P4mm, No. 99
DFT formation energy ... 0.03 eV/atom
Crystal system ... tetragonal
Spin magnetization ... 0.00 μB/f.u.
ΔE to the lowest computed polymorph ... 0.477 eV per formula unit

Cell: 2.7129 2.7129 7.7442 Å, 90.00 90.00 90.00°
With the nearest neighbours (Å) after each atom.
Fractional coordinates of all 4 atoms:
Re 0.0000 0.0000 0.4994  4 Re 2.71, 4 Rh 2.72, 4 Ru 2.74
Ru 0.5000 0.5000 0.2467  8 Ru 2.68-2.71, 4 Re 2.74
Rh 0.5000 0.5000 0.7487  4 Rh 2.71, 4 Re 2.72, 4 Ru 2.76
Ru 0.0000 0.0000 0.0052  8 Ru 2.68-2.71, 4 Rh 2.76


2.
## Re2RuRh4 (PBE)

Data for a relaxed structure of Re2RuRh4.

Properties
Space group ... C2/m, No. 12
DFT formation energy ... 0.27 eV/atom
Crystal system ... monoclinic
Spin magnetization ... 0.28 μB/f.u.

Cell: 4.6395 7.0836 4.6375 Å, 130.79 108.47 78.10°
With the nearest neighbours (Å) after each atom.
Fractional coordinates of all 7 atoms:
Rh 0.4994 0.7443 0.7444  4 Rh 2.62-2.74, 4 Re 2.66-2.69, 2 Ru 2.69-2.70
Rh 0.5006 0.2557 0.2556  4 Rh 2.62-2.74, 4 Re 2.66-2.69, 2 Ru 2.69-2.70
Ru 0.0000 0.0000 0.0000  8 Rh 2.69-2.70, 2 Re 2.71
Re 0.5000 0.0000 0.5000  2 Re 2.68, 8 Rh 2.69-2.70, 2 Ru 2.71
Rh 0.0003 0.2559 0.7562  4 Rh 2.62-2.74, 4 Re 2.66-2.70, 2 Ru 2.69-2.70
Re 0.5000 0.5000 0.0000  8 Rh 2.66-2.67, 2 Re 2.68
Rh 0.9997 0.7441 0.2438  4 Rh 2.62-2.74, 4 Re 2.66-2.70, 2 Ru 2.69-2.70


3.
## ReRu2Rh (PBE)

Data for a relaxed structure of ReRu2Rh.

Properties
Space group ... I4/mmm, No. 139
DFT formation energy ... 0.01 eV/atom
Crystal system ... tetragonal
Spin magnetization ... 0.00 μB/f.u.
ΔE to the lowest computed polymorph ... 0.394 eV per formula unit

Cell: 4.6684 4.6684 4.6684 Å, 130.90 130.90 71.97°
With the nearest neighbours (Å) after each atom.
Fractional coordinates of all 4 atoms:
Rh 0.7500 0.2500 0.5000  8 Ru 2.71, 4 Re 2.74
Ru 0.5000 0.5000 0.0000  4 Re 2.71, 4 Rh 2.71, 4 Ru 2.74
Re 0.2500 0.7500 0.5000  8 Ru 2.71, 4 Rh 2.74
Ru 0.0000 0.0000 0.0000  4 Rh 2.71, 4 Re 2.71, 4 Ru 2.74


> Look up the DFT formation energy of the second one.

0.27 eV/atom